The following is a DFT calculation (PBE) of a relaxed structure of LiMg2Au4.

abc: 5.630 5.630 5.630
angles: 93.92 117.77 117.77
Atoms (fractional coordinates):
Au1 0.000 0.000 0.500
Au2 0.000 0.500 0.000
Li1 0.000 0.000 0.000
Mg1 0.500 0.500 0.000
Mg2 0.500 0.000 0.500
Au3 0.500 0.500 0.500
Au4 0.500 0.000 0.000

Distance to the lowest polymorph of the same formula in eV/atom: 0.000
Space group: I4/mmm (139)
DFT formation energy in eV per atom: -0.44
Volume in A^3/atom: 18.6
Raw total energy in eV/atom: -3.0394